Record 1
A plane-wave DFT calculation with GGA-PBE was carried out for a relaxed structure of SrFe2P.

Cell lengths 3.1689, 3.1689, 6.8652 Å; angles 90.00, 90.00, 90.00 degrees
Each line ends with the local moment (μB).
Fractional positions:
1 Fe 0.0000 0.0000 0.0864  2.41
2 Fe 0.5000 0.5000 0.2583  2.08
3 P 0.0000 0.0000 0.4147  -0.07
4 Sr 0.5000 0.5000 0.7406  -0.08

Results
Formation enthalpy at 0 K: 63 meV per atom
Crystal system: tetragonal
SG: P4mm (99)

Record 2
A plane-wave DFT calculation with GGA-PBE was carried out for a relaxed structure of SrFe2P.

Cell lengths 4.0357, 4.0744, 5.1601 Å; angles 78.37, 90.00, 90.00 degrees
Each line ends with the local moment (μB).
Fractional positions:
1 Fe 0.0000 0.0453 0.1334  2.45
2 Fe 0.0000 0.4547 0.3666  2.45
3 P 0.5000 0.2500 0.2500  0.02
4 Sr 0.5000 0.7500 0.7500  -0.01

Results
Formation enthalpy at 0 K: 111 meV per atom
Crystal system: monoclinic
SG: P2/m (10)

Record 3
A plane-wave DFT calculation with GGA-PBE was carried out for a relaxed structure of SrFe3P.

Cell lengths 4.4457, 4.4457, 4.4457 Å; angles 90.00, 90.00, 90.00 degrees
Each line ends with the local moment (μB).
Fractional positions:
1 Sr 0.5000 0.5000 0.5000  -0.08
2 Fe 0.0000 0.5000 0.0000  2.43
3 Fe 0.0000 0.0000 0.5000  2.25
4 Fe 0.5000 0.0000 0.0000  2.62
5 P 0.0000 0.0000 0.0000  -0.03

Results
Formation enthalpy at 0 K: 174 meV per atom
Energy relative to the lowest polymorph listed for this composition: 0 kJ/mol of formula units
Crystal system: cubic
SG: Pm-3m (221)

Record 4
A plane-wave DFT calculation with GGA-PBE was carried out for a relaxed structure of SrFeP.

Cell lengths 3.8751, 7.5349, 10.0274 Å; angles 94.12, 101.14, 90.00 degrees
Fractional positions:
1 Sr 0.1127 0.3476 0.2253
2 Sr 0.4203 0.1589 0.8406
3 Sr 0.5797 0.8411 0.1594
4 Sr 0.8873 0.6524 0.7747
5 Fe 0.2465 0.6243 0.4930
6 Fe 0.7489 0.8743 0.4977
7 Fe 0.7535 0.3757 0.5070
8 Fe 0.2511 0.1257 0.5023
9 P 0.3081 0.3925 0.6162
10 P 0.6950 0.1193 0.3899
11 P 0.6919 0.6075 0.3838
12 P 0.3050 0.8807 0.6101

Results
Formation enthalpy at 0 K: -629 meV per atom
Crystal system: monoclinic
SG: C2/m (12)

Record 5
A plane-wave DFT calculation with GGA-PBE was carried out for a relaxed structure of Sr2FeP.

Cell lengths 4.4585, 4.4585, 6.2466 Å; angles 90.00, 90.00, 90.00 degrees
Each line ends with the local moment (μB).
Fractional positions:
1 Fe 0.0000 0.0000 0.3910  2.85
2 P 0.5000 0.5000 0.8620  0.08
3 Sr 0.0000 0.0000 0.8829  -0.02
4 Sr 0.5000 0.5000 0.3641  -0.04

Results
Formation enthalpy at 0 K: 168 meV per atom
Crystal system: tetragonal
SG: P4mm (99)

Record 6
A plane-wave DFT calculation with GGA-PBE was carried out for a relaxed structure of SrFeP.

Cell lengths 5.8583, 5.8582, 3.1961 Å; angles 74.17, 74.17, 31.66 degrees
Each line ends with the local moment (μB).
Fractional positions:
1 Fe 0.9500 0.9500 0.0500  1.28
2 P 0.3819 0.3819 0.6181  -0.04
3 Sr 0.6681 0.6681 0.3319  -0.09

Results
Formation enthalpy at 0 K: -146 meV per atom
Crystal system: tetragonal
SG: I4mm (107)